Below is a geometry-optimized LaZr structure, with properties calculated at the PBE-GGA level.

extended XYZ file:
```
4
Lattice="3.372 0.000 0.000 0.000 3.372 0.000 0.000 0.000 10.124" Properties=species:S:1:pos:R:3 pbc="T T T"
La 0.843 0.843 1.496
La 2.529 2.529 8.629
Zr 0.843 0.843 6.103
Zr 2.529 2.529 4.022
```

Calculated formation energy, eV/atom: 0.12
Electronic total energy, Ha/atom: -0.243
Symmetry: P4/nmm
Relative energy among the computed polymorphs, kJ per mole of atoms: 0.0

=====

Below is a geometry-optimized LaZr structure, with properties calculated at the PBE-GGA level.

extended XYZ file:
```
6
Lattice="5.629 0.000 0.000 0.000 1.691 8.985 0.000 -1.691 8.985" Properties=species:S:1:pos:R:3 pbc="T T T"
La 0.000 0.000 0.000
La 0.000 0.000 5.971
La 2.814 0.000 13.770
Zr 0.000 0.000 11.862
Zr 2.814 0.000 1.826
Zr 2.814 0.000 8.059
```

Calculated formation energy, eV/atom: 0.20
Electronic total energy, Ha/atom: -0.240
Symmetry: Amm2
Relative energy among the computed polymorphs, kJ per mole of atoms: 7.6